Material: Ac2AlPb2
Method: DFT, PBE
State: relaxed

Calculated values
DFT formation energy: -2.143 eV per formula unit

Structure (CIF):
```
data_Ac2AlPb2
_chemical_formula_sum 'Ac8 Al4 Pb8'
_symmetry_space_group_name_H-M 'C 1 2/m 1'
_symmetry_Int_Tables_number 12
_symmetry_space_group_name_Hall '-C 2y'
_cell_length_a 12.5951
_cell_length_b 4.7497
_cell_length_c 12.3920
_cell_angle_alpha 90.00
_cell_angle_beta 114.93
_cell_angle_gamma 90.00
loop_
_atom_site_label
_atom_site_type_symbol
_atom_site_fract_x
_atom_site_fract_y
_atom_site_fract_z
Ac1 Ac 0.0888 0.0000 0.4026
Ac2 Ac 0.1937 0.5000 0.1568
Al1 Al 0.0462 0.5000 0.7918
Pb1 Pb 0.0794 0.0000 0.9306
Pb2 Pb 0.1522 0.5000 0.6308
```

=====

Material: Ac2Al2Pb
Method: DFT, PBE
State: relaxed

Calculated values
DFT formation energy: -0.828 eV per formula unit

Structure (CIF):
```
data_Ac2Al2Pb
_chemical_formula_sum 'Ac4 Al4 Pb2'
_symmetry_space_group_name_H-M 'I 4/m m m'
_symmetry_Int_Tables_number 139
_symmetry_space_group_name_Hall '-I 4 2'
_cell_length_a 3.9264
_cell_length_b 3.9264
_cell_length_c 20.5406
_cell_angle_alpha 90.00
_cell_angle_beta 90.00
_cell_angle_gamma 90.00
loop_
_atom_site_label
_atom_site_type_symbol
_atom_site_fract_x
_atom_site_fract_y
_atom_site_fract_z
Ac1 Ac 0.0000 0.0000 0.1109
Al1 Al 0.0000 0.5000 0.2500
Pb1 Pb 0.0000 0.0000 0.5000
```